5
Lattice="-3.678 2.231 -1.870 -1.943 -4.125 -1.100 -2.168 -0.088 4.159" Properties=species:S:1:pos:R:3 comment="Zn3CoRh | Alexandria via LeMat-Bulk | GGA-PBE | relaxed" total_energy_ev_per_atom=-2.9190 formation_energy_mev_per_atom=737 dos_at_fermi_per_ev_fu=5.0 pbc="T T T"
Co -3.895 -0.991 0.594
Zn -0.972 -2.063 -0.550
Zn -1.084 -0.044 2.080
Zn -1.839 1.116 -0.935
Rh 0.000 0.000 0.000


4
Lattice="-1.811 -1.751 -1.067 0.479 -1.745 2.051 -5.181 3.044 3.798" Properties=species:S:1:pos:R:3 comment="ZnCoRh2 | Alexandria via LeMat-Bulk | GGA-PBE | relaxed" total_energy_ev_per_atom=-5.8142 formation_energy_mev_per_atom=-44 dos_at_fermi_per_ev_fu=5.5 pbc="T T T"
Co -4.553 0.536 3.341
Rh -5.101 2.997 3.739
Rh -1.983 -0.974 1.458
Zn -2.648 1.556 1.941


4
Lattice="-4.193 1.417 2.421 -0.389 -1.014 4.927 2.604 2.360 -3.619" Properties=species:S:1:pos:R:3 comment="ZnCoRh2 | Alexandria via LeMat-Bulk | GGA-PBE | relaxed" total_energy_ev_per_atom=-5.8128 formation_energy_mev_per_atom=-42 dos_at_fermi_per_ev_fu=4.2 pbc="T T T"
Co -0.059 0.776 2.525
Rh -0.046 0.004 0.075
Rh -1.909 1.987 1.188
Zn -2.254 0.198 3.614


4
Lattice="-2.016 -1.588 0.681 2.241 -0.591 1.295 -2.087 5.219 5.994" Properties=species:S:1:pos:R:3 comment="Zn2CoRh | Alexandria via LeMat-Bulk | GGA-PBE | relaxed" total_energy_ev_per_atom=-4.2909 formation_energy_mev_per_atom=-40 dos_at_fermi_per_ev_fu=3.5 pbc="T T T"
Co -0.409 0.215 2.486
Rh -1.453 2.824 5.484
Zn -0.016 0.040 0.046
Zn -1.028 2.569 2.951


4
Lattice="4.383 0.000 0.000 2.192 3.796 0.000 2.192 1.265 3.579" Properties=species:S:1:pos:R:3 comment="ZrZnCoRh | Alexandria via LeMat-Bulk | GGA-PBE | relaxed" total_energy_ev_per_atom=-6.5637 formation_energy_mev_per_atom=-494 dos_at_fermi_per_ev_fu=0.8 pbc="T T T"
Co 6.575 3.796 2.684
Zn 0.000 0.000 0.000
Rh 2.192 1.265 0.895
Zr 4.383 2.531 1.790


5
Lattice="-2.205 -2.525 0.562 0.896 -0.053 3.278 -5.384 3.143 3.285" Properties=species:S:1:pos:R:3 comment="ZrCo2Rh2 | Alexandria via LeMat-Bulk | GGA-PBE | relaxed" polymorph_energy_mev_per_atom=0 total_energy_ev_per_atom=-7.6254 formation_energy_mev_per_atom=-133 dos_at_fermi_per_ev_fu=4.9 pbc="T T T"
Co -4.121 -0.336 2.884
Co -2.571 0.901 4.242
Rh -1.644 -0.361 2.206
Rh -5.048 0.926 4.919
Zr 0.000 0.000 0.000


18
Lattice="5.537 0.000 0.233 0.000 7.191 0.000 -0.340 0.000 8.987" Properties=species:S:1:pos:R:3 comment="Zr6CoRh2 | Alexandria via LeMat-Bulk | GGA-PBE | relaxed" polymorph_energy_mev_per_atom=43 total_energy_ev_per_atom=-8.4941 formation_energy_mev_per_atom=-372 dos_at_fermi_per_ev_fu=7.6 pbc="T T T"
Zr 4.553 6.816 2.452
Zr 4.487 4.683 5.078
Zr 4.421 5.173 8.646
Zr 3.375 1.578 5.183
Zr 3.309 1.087 8.751
Zr 3.582 3.221 2.391
Zr 0.644 0.375 6.768
Zr 0.710 2.508 4.142
Zr 0.776 2.018 0.573
Zr 1.822 5.613 4.037
Zr 1.888 6.104 0.468
Zr 1.615 3.970 6.829
Co 2.768 3.595 0.116
Co -0.170 0.000 4.494
Rh 4.585 2.909 7.253
Rh 3.211 6.504 6.577
Rh 1.986 0.687 2.643
Rh 0.612 4.282 1.967


9
Lattice="-2.246 2.522 0.114 -5.414 -4.745 -1.689 1.658 1.128 7.706" Properties=species:S:1:pos:R:3 comment="Zr6CoRh2 | Alexandria via LeMat-Bulk | GGA-PBE | relaxed" polymorph_energy_mev_per_atom=0 total_energy_ev_per_atom=-8.5374 formation_energy_mev_per_atom=-415 dos_at_fermi_per_ev_fu=9.2 pbc="T T T"
Zr -4.228 -1.460 -0.912
Zr -2.781 -0.314 2.242
Zr -0.335 1.750 4.789
Zr -1.180 -1.034 -0.368
Zr -2.802 -2.695 4.419
Zr 0.401 0.266 2.021
Co -6.253 -3.235 -1.543
Rh -0.833 -0.950 4.619
Rh -3.165 -2.878 1.323


6
Lattice="4.810 0.000 0.000 2.405 4.165 0.000 2.405 1.388 3.927" Properties=species:S:1:pos:R:3 comment="ZrCo4Rh | Alexandria via LeMat-Bulk | GGA-PBE | relaxed" total_energy_ev_per_atom=-7.6366 formation_energy_mev_per_atom=-249 dos_at_fermi_per_ev_fu=6.1 pbc="T T T"
Co 3.613 2.086 1.475
Co 4.810 4.158 1.475
Co 4.810 2.777 3.428
Co 6.006 2.086 1.475
Rh 7.214 4.165 2.945
Zr 0.000 0.000 0.000


5
Lattice="-3.306 -1.591 2.552 -2.055 -1.575 -3.643 2.196 -3.868 0.434" Properties=species:S:1:pos:R:3 comment="ZrCo3Rh | Alexandria via LeMat-Bulk | GGA-PBE | relaxed" polymorph_energy_mev_per_atom=0 total_energy_ev_per_atom=-6.5166 formation_energy_mev_per_atom=927 dos_at_fermi_per_ev_fu=6.3 pbc="T T T"
Co -1.027 -0.788 -1.822
Co 1.098 -1.934 0.217
Co -1.653 -0.795 1.276
Rh 0.000 0.000 0.000
Zr -1.582 -3.517 -0.328


12
Lattice="-3.098 1.330 3.067 -4.908 -5.472 0.801 3.623 -2.552 4.766" Properties=species:S:1:pos:R:3 comment="Zr3CoRh2 | Alexandria via LeMat-Bulk | GGA-PBE | relaxed" total_energy_ev_per_atom=-8.5022 formation_energy_mev_per_atom=-593 dos_at_fermi_per_ev_fu=5.5 pbc="T T T"
Zr -1.484 -2.705 6.446
Zr -0.647 0.030 2.719
Zr -2.899 -3.989 2.188
Zr -3.378 -1.371 3.955
Zr -1.005 -5.323 4.680
Zr 1.173 -1.252 5.114
Co -2.548 -1.160 1.316
Co -5.459 -2.983 2.552
Rh 0.000 0.000 0.000
Rh 1.811 -1.276 2.383
Rh -0.850 -2.643 3.674
Rh -3.534 -4.051 4.960


12
Lattice="4.432 0.429 -1.336 -1.380 5.822 -2.705 -0.016 0.030 8.043" Properties=species:S:1:pos:R:3 comment="Zr6CoRh5 | Alexandria via LeMat-Bulk | GGA-PBE | relaxed" total_energy_ev_per_atom=-8.6040 formation_energy_mev_per_atom=-675 dos_at_fermi_per_ev_fu=10.2 pbc="T T T"
Rh 0.307 4.994 2.623
Rh 2.030 4.178 -0.013
Rh -0.690 2.911 -1.352
Rh 1.007 2.104 4.014
Rh 2.729 1.287 1.379
Co 0.000 0.000 0.000
Zr 0.155 2.473 1.307
Zr -0.544 5.420 -0.062
Zr 1.879 1.636 -1.328
Zr 1.173 4.616 -2.713
Zr 3.580 0.862 4.064
Zr 2.882 3.809 2.695